# 1
DFT (GGA-PBE) results for a geometry-optimized NaTmB structure. Values from VASP.

Values from the calculation:
The crystal system is cubic. For the magnetization, the calculation gives 0.937 μB per cell. The value obtained for the total energy is -3.625 eV/atom. As for the symmetry: F-43m.

The structure in Quantum ESPRESSO input format:
```
&SYSTEM
  ibrav = 0, nat = 3, ntyp = 3
/
ATOMIC_SPECIES
Tm 168.93 Tm.upf
Na 22.99 Na.upf
B 10.81 B.upf
CELL_PARAMETERS angstrom
3.308 1.070 2.704
-0.420 3.414 2.750
-0.384 -0.696 4.332
ATOMIC_POSITIONS angstrom
Tm 1.878 2.841 7.340
Na 0.626 0.947 2.447
B 0.000 0.000 0.000
```

# 2
DFT (GGA-PBE) results for a geometry-optimized NaUB structure. Values from VASP.

Values from the calculation:
The crystal system is cubic. For the magnetization, the calculation gives 2.165 μB per cell. The value obtained for the total energy is -4.732 eV/atom. As for the symmetry: F-43m.

The structure in Quantum ESPRESSO input format:
```
&SYSTEM
  ibrav = 0, nat = 3, ntyp = 3
/
ATOMIC_SPECIES
U 238.03 U.upf
Na 22.99 Na.upf
B 10.81 B.upf
CELL_PARAMETERS angstrom
0.000 3.152 3.152
3.152 0.000 3.152
3.152 3.152 0.000
ATOMIC_POSITIONS angstrom
U 0.000 0.000 0.000
Na 4.728 4.728 4.728
B 1.576 1.576 1.576
```

# 3
DFT (GGA-PBE) results for a geometry-optimized NaUB structure. Values from VASP.

Values from the calculation:
The crystal system is cubic. For the magnetization, the calculation gives 2.028 μB per cell. The value obtained for the total energy is -5.464 eV/atom. As for the symmetry: F-43m.

The structure in Quantum ESPRESSO input format:
```
&SYSTEM
  ibrav = 0, nat = 3, ntyp = 3
/
ATOMIC_SPECIES
B 10.81 B.upf
U 238.03 U.upf
Na 22.99 Na.upf
CELL_PARAMETERS angstrom
0.000 3.071 3.071
3.071 0.000 3.071
3.071 3.071 0.000
ATOMIC_POSITIONS angstrom
B 0.000 0.000 0.000
U 4.606 4.606 4.606
Na 1.535 1.535 1.535
```

# 4
DFT (GGA-PBE) results for a geometry-optimized NaZnB4 structure. Values from VASP.

Values from the calculation:
The crystal system is hexagonal. The value obtained for the total energy is -4.609 eV/atom. As for the symmetry: P6/mmm.

The structure in Quantum ESPRESSO input format:
```
&SYSTEM
  ibrav = 0, nat = 6, ntyp = 3
/
ATOMIC_SPECIES
B 10.81 B.upf
Na 22.99 Na.upf
Zn 65.41 Zn.upf
CELL_PARAMETERS angstrom
3.052 0.000 0.000
-1.526 2.643 0.000
0.000 0.000 7.516
ATOMIC_POSITIONS angstrom
B 1.526 0.881 5.863
B 1.526 0.881 1.653
Na 0.000 0.000 3.758
Zn 0.000 0.000 0.000
B 0.000 1.762 5.863
B 0.000 1.762 1.653
```

# 5
DFT (GGA-PBE) results for a geometry-optimized NaZnB4 structure. Values from VASP.

Values from the calculation:
The crystal system is orthorhombic. The value obtained for the total energy is -4.539 eV/atom. As for the symmetry: Immm.

The structure in Quantum ESPRESSO input format:
```
&SYSTEM
  ibrav = 0, nat = 6, ntyp = 3
/
ATOMIC_SPECIES
Zn 65.41 Zn.upf
B 10.81 B.upf
Na 22.99 Na.upf
CELL_PARAMETERS angstrom
-1.519 2.629 3.788
1.519 -2.629 3.788
1.519 2.629 -3.788
ATOMIC_POSITIONS angstrom
Zn 0.000 0.000 0.000
B 1.519 0.873 1.896
B 0.000 3.502 1.892
Na 0.000 0.000 3.788
B 1.519 -0.873 1.896
B 0.000 1.757 1.892
```

# 6
DFT (GGA-PBE) results for a geometry-optimized NaZrB structure. Values from VASP.

Values from the calculation:
The crystal system is cubic. For the magnetization, the calculation gives 0.005 μB per cell. The value obtained for the total energy is -4.976 eV/atom. As for the symmetry: F-43m.

The structure in Quantum ESPRESSO input format:
```
&SYSTEM
  ibrav = 0, nat = 3, ntyp = 3
/
ATOMIC_SPECIES
B 10.81 B.upf
Zr 91.22 Zr.upf
Na 22.99 Na.upf
CELL_PARAMETERS angstrom
-1.619 -2.856 -2.584
-3.806 0.573 -1.626
-0.427 0.864 -4.065
ATOMIC_POSITIONS angstrom
B 0.000 0.000 0.000
Zr -4.389 -1.065 -6.206
Na -1.463 -0.355 -2.069
```

# 7
DFT (GGA-PBE) results for a geometry-optimized Nb2B structure. Values from VASP.

Values from the calculation:
The crystal system is orthorhombic. For the magnetization, the calculation gives 0.011 μB per cell. The value obtained for the total energy is -9.223 eV/atom. As for the symmetry: Pnma.

The structure in Quantum ESPRESSO input format:
```
&SYSTEM
  ibrav = 0, nat = 12, ntyp = 2
/
ATOMIC_SPECIES
Nb 92.91 Nb.upf
B 10.81 B.upf
CELL_PARAMETERS angstrom
-3.764 3.151 -9.566
-0.345 -3.137 -0.898
-4.801 -0.012 1.885
ATOMIC_POSITIONS angstrom
Nb -5.612 0.878 -3.910
B -3.275 -1.969 -0.856
Nb -2.342 -0.110 -1.716
Nb -3.871 -0.698 0.928
Nb -6.568 0.112 -6.863
Nb -5.039 0.700 -9.507
B -1.652 0.401 -3.764
Nb -3.297 -0.876 -4.669
Nb -3.733 1.467 -6.691
Nb -5.176 -1.465 -1.888
B -5.635 1.971 -7.723
B -7.257 -0.399 -4.814
```

# 8
DFT (GGA-PBE) results for a geometry-optimized Nb7B8 structure. Values from VASP.

Values from the calculation:
The crystal system is orthorhombic. For the magnetization, the calculation gives 0.000 μB per cell. The value obtained for the total energy is -8.894 eV/atom. As for the symmetry: Immm.

The structure in Quantum ESPRESSO input format:
```
&SYSTEM
  ibrav = 0, nat = 15, ntyp = 2
/
ATOMIC_SPECIES
Nb 92.91 Nb.upf
B 10.81 B.upf
CELL_PARAMETERS angstrom
-1.591 1.646 16.635
1.591 -1.646 16.635
1.591 1.646 -16.635
ATOMIC_POSITIONS angstrom
Nb 0.000 0.000 4.872
B 0.000 0.000 31.390
Nb 0.000 0.000 19.254
B 0.000 1.646 15.720
B 0.000 0.000 21.504
B 0.000 0.000 1.881
B 0.000 0.000 7.136
B 1.591 0.000 0.915
B 0.000 0.000 11.766
Nb 0.000 0.000 23.818
B 0.000 0.000 26.135
Nb 0.000 0.000 28.398
Nb 0.000 1.646 0.000
Nb 0.000 0.000 9.453
Nb 0.000 0.000 14.017
```

# 9
DFT (GGA-PBE) results for a geometry-optimized Nb2B structure. Values from VASP.

Values from the calculation:
The crystal system is cubic. For the magnetization, the calculation gives 0.001 μB per cell. The value obtained for the total energy is -9.036 eV/atom. As for the symmetry: Fm-3m.

The structure in Quantum ESPRESSO input format:
```
&SYSTEM
  ibrav = 0, nat = 3, ntyp = 2
/
ATOMIC_SPECIES
B 10.81 B.upf
Nb 92.91 Nb.upf
CELL_PARAMETERS angstrom
0.000 2.824 2.824
2.824 0.000 2.824
2.824 2.824 0.000
ATOMIC_POSITIONS angstrom
B 0.000 0.000 0.000
Nb 4.236 4.236 4.236
Nb 1.412 1.412 1.412
```

# 10
DFT (GGA-PBE) results for a geometry-optimized Nb2B structure. Values from VASP.

Values from the calculation:
The crystal system is cubic. For the magnetization, the calculation gives 0.015 μB per cell. The value obtained for the total energy is -7.450 eV/atom. As for the symmetry: Fd-3m.

The structure in Quantum ESPRESSO input format:
```
&SYSTEM
  ibrav = 0, nat = 6, ntyp = 2
/
ATOMIC_SPECIES
Nb 92.91 Nb.upf
B 10.81 B.upf
CELL_PARAMETERS angstrom
0.000 3.702 3.702
3.702 0.000 3.702
3.702 3.702 0.000
ATOMIC_POSITIONS angstrom
Nb 4.627 2.776 2.776
B 0.000 0.000 0.000
Nb 4.627 4.627 4.627
Nb 2.776 4.627 2.776
B 1.851 1.851 1.851
Nb 2.776 2.776 4.627
```

# 11
DFT (GGA-PBE) results for a geometry-optimized Nb5B6 structure. Values from VASP.

Values from the calculation:
The crystal system is orthorhombic. For the magnetization, the calculation gives 0.001 μB per cell. The value obtained for the total energy is -8.999 eV/atom. As for the symmetry: Cmmm.

The structure in Quantum ESPRESSO input format:
```
&SYSTEM
  ibrav = 0, nat = 22, ntyp = 2
/
ATOMIC_SPECIES
B 10.81 B.upf
Nb 92.91 Nb.upf
CELL_PARAMETERS angstrom
3.319 0.000 0.000
0.000 3.162 0.000
0.000 0.000 22.900
ATOMIC_POSITIONS angstrom
B 1.659 0.000 12.360
Nb 0.000 1.581 2.618
Nb 1.659 1.581 7.000
Nb 1.659 0.000 4.450
B 0.000 0.000 6.239
B 1.659 0.000 21.031
B 0.000 1.581 5.211
B 1.659 0.000 1.869
B 1.659 1.581 9.581
B 0.000 0.000 16.661
B 1.659 1.581 13.319
Nb 0.000 1.581 20.282
B 0.000 1.581 17.689
Nb 0.000 1.581 11.450
B 1.659 0.000 10.540
Nb 0.000 0.000 14.068
B 1.659 1.581 21.990
Nb 0.000 0.000 8.832
B 1.659 1.581 0.910
Nb 1.659 1.581 15.900
Nb 1.659 0.000 18.451
Nb 0.000 0.000 0.000
```

# 12
DFT (GGA-PBE) results for a geometry-optimized NbB2 structure. Values from VASP.

Values from the calculation:
The crystal system is cubic. For the magnetization, the calculation gives 0.001 μB per cell. The value obtained for the total energy is -6.948 eV/atom. As for the symmetry: Fm-3m.

The structure in Quantum ESPRESSO input format:
```
&SYSTEM
  ibrav = 0, nat = 3, ntyp = 2
/
ATOMIC_SPECIES
B 10.81 B.upf
Nb 92.91 Nb.upf
CELL_PARAMETERS angstrom
-2.726 -2.114 1.405
-3.238 -0.313 -1.815
-0.906 -3.213 -1.653
ATOMIC_POSITIONS angstrom
B -1.718 -1.410 -0.516
B -5.153 -4.230 -1.547
Nb 0.000 0.000 0.000
```

# 13
DFT (GGA-PBE) results for a geometry-optimized NbB3 structure. Values from VASP.

Values from the calculation:
The crystal system is tetragonal. For the magnetization, the calculation gives 0.000 μB per cell. The value obtained for the total energy is -7.876 eV/atom. As for the symmetry: I-4m2.

The structure in Quantum ESPRESSO input format:
```
&SYSTEM
  ibrav = 0, nat = 4, ntyp = 2
/
ATOMIC_SPECIES
B 10.81 B.upf
Nb 92.91 Nb.upf
CELL_PARAMETERS angstrom
0.539 4.173 0.621
-2.583 1.884 2.806
2.475 -3.458 -0.087
ATOMIC_POSITIONS angstrom
B -0.763 2.260 1.279
B 0.996 1.872 1.124
Nb 0.000 0.000 0.000
B -1.281 3.797 2.148
```

# 14
DFT (GGA-PBE) results for a geometry-optimized Nb5B6 structure. Values from VASP.

Values from the calculation:
The crystal system is orthorhombic. For the magnetization, the calculation gives 0.004 μB per cell. The value obtained for the total energy is -8.999 eV/atom. As for the symmetry: Cmmm.

The structure in Quantum ESPRESSO input format:
```
&SYSTEM
  ibrav = 0, nat = 11, ntyp = 2
/
ATOMIC_SPECIES
B 10.81 B.upf
Nb 92.91 Nb.upf
CELL_PARAMETERS angstrom
-2.915 6.717 -8.926
2.496 -9.006 6.779
-3.191 -0.231 0.868
ATOMIC_POSITIONS angstrom
B -1.590 -1.884 -0.016
B -1.440 2.432 -4.646
Nb -3.458 3.545 -5.439
Nb 0.409 -2.942 0.722
Nb -0.151 -6.065 4.160
Nb -0.828 0.653 -2.869
Nb 0.000 0.000 0.000
B -2.019 -0.636 -1.263
B 0.459 -7.836 5.928
B -4.068 5.316 -7.208
B 1.022 -4.721 2.498
```

# 15
DFT (GGA-PBE) results for a geometry-optimized Nb2B3 structure. Values from VASP.

Values from the calculation:
The crystal system is orthorhombic. For the magnetization, the calculation gives 0.011 μB per cell. The value obtained for the total energy is -7.438 eV/atom. As for the symmetry: Cmmm.

The structure in Quantum ESPRESSO input format:
```
&SYSTEM
  ibrav = 0, nat = 10, ntyp = 2
/
ATOMIC_SPECIES
Nb 92.91 Nb.upf
B 10.81 B.upf
CELL_PARAMETERS angstrom
-1.298 8.221 6.478
-2.916 -8.876 -4.894
1.038 -1.518 2.134
ATOMIC_POSITIONS angstrom
Nb -1.271 2.265 4.088
B -2.207 -7.628 -2.492
Nb -1.487 -0.016 2.571
B -0.969 5.456 6.211
B -2.077 -6.257 -1.580
Nb -1.689 -2.157 1.147
B -1.099 4.084 5.298
B -2.334 -8.964 -3.380
B -0.842 6.791 7.099
Nb -1.905 -4.438 -0.370
```

# 16
DFT (GGA-PBE) results for a geometry-optimized NbB3 structure. Values from VASP.

Values from the calculation:
The crystal system is monoclinic. For the magnetization, the calculation gives 0.002 μB per cell. The value obtained for the total energy is -8.011 eV/atom. As for the symmetry: C2/c.

The structure in Quantum ESPRESSO input format:
```
&SYSTEM
  ibrav = 0, nat = 16, ntyp = 2
/
ATOMIC_SPECIES
B 10.81 B.upf
Nb 92.91 Nb.upf
CELL_PARAMETERS angstrom
2.679 -1.542 0.000
2.679 1.542 0.000
-0.990 0.000 16.880
ATOMIC_POSITIONS angstrom
B 3.687 0.180 9.275
B 0.186 0.180 16.044
Nb 2.432 -0.131 2.551
B 3.792 0.129 16.043
Nb 1.937 0.131 10.991
B 0.576 -0.129 0.837
B 0.648 -0.131 4.219
B 0.081 0.129 9.277
B 4.215 -0.131 4.221
B 0.681 -0.180 7.604
B 4.287 -0.129 7.603
B 0.153 0.131 12.659
Nb 2.431 -0.131 5.888
Nb 1.936 0.131 14.328
B 4.182 -0.180 0.835
B 3.720 0.131 12.661
```

# 17
DFT (GGA-PBE) results for a geometry-optimized NbB2 structure. Values from VASP.

Values from the calculation:
The crystal system is cubic. For the magnetization, the calculation gives 0.001 μB per cell. The value obtained for the total energy is -7.590 eV/atom. As for the symmetry: Fd-3m.

The structure in Quantum ESPRESSO input format:
```
&SYSTEM
  ibrav = 0, nat = 6, ntyp = 2
/
ATOMIC_SPECIES
B 10.81 B.upf
Nb 92.91 Nb.upf
CELL_PARAMETERS angstrom
-2.882 -2.941 1.327
-1.195 -0.136 4.156
-3.983 1.239 1.147
ATOMIC_POSITIONS angstrom
B -3.046 -1.768 3.570
B -4.440 -1.081 2.065
B -3.597 0.322 3.480
Nb 0.000 0.000 0.000
Nb -2.015 -0.460 1.657
B -5.038 -1.149 4.143
```

# 18
DFT (GGA-PBE) results for a geometry-optimized NbB2 structure. Values from VASP.

Values from the calculation:
The crystal system is hexagonal. For the magnetization, the calculation gives 0.000 μB per cell. The value obtained for the total energy is -8.512 eV/atom. As for the symmetry: P6/mmm.

The structure in Quantum ESPRESSO input format:
```
&SYSTEM
  ibrav = 0, nat = 3, ntyp = 2
/
ATOMIC_SPECIES
B 10.81 B.upf
Nb 92.91 Nb.upf
CELL_PARAMETERS angstrom
3.114 0.000 0.000
-1.557 2.697 0.000
0.000 0.000 3.332
ATOMIC_POSITIONS angstrom
B 0.000 1.798 1.666
Nb 0.000 0.000 0.000
B 1.557 0.899 1.666
```

# 19
DFT (GGA-PBE) results for a geometry-optimized Nb2B3 structure. Values from VASP.

Values from the calculation:
The crystal system is orthorhombic. For the magnetization, the calculation gives 0.001 μB per cell. The value obtained for the total energy is -8.795 eV/atom. As for the symmetry: Cmcm.

The structure in Quantum ESPRESSO input format:
```
&SYSTEM
  ibrav = 0, nat = 10, ntyp = 2
/
ATOMIC_SPECIES
Nb 92.91 Nb.upf
B 10.81 B.upf
CELL_PARAMETERS angstrom
-8.512 2.190 -4.627
6.518 -1.871 7.258
0.699 3.055 0.159
ATOMIC_POSITIONS angstrom
Nb -3.868 1.746 -1.053
B 6.348 -1.014 7.025
Nb 0.214 0.644 2.174
B 4.559 1.092 5.413
Nb -1.508 2.731 0.616
B -5.853 2.283 -2.623
B -6.249 4.012 -3.133
B -7.642 4.388 -4.235
B 4.955 -0.637 5.923
Nb 2.573 1.628 3.843
```

# 20
DFT (GGA-PBE) results for a geometry-optimized NdNbB structure. Values from VASP.

Values from the calculation:
The crystal system is cubic. For the magnetization, the calculation gives 0.018 μB per cell. The value obtained for the total energy is -6.745 eV/atom. As for the symmetry: F-43m.

The structure in Quantum ESPRESSO input format:
```
&SYSTEM
  ibrav = 0, nat = 3, ntyp = 3
/
ATOMIC_SPECIES
B 10.81 B.upf
Nd 144.24 Nd.upf
Nb 92.91 Nb.upf
CELL_PARAMETERS angstrom
0.000 3.056 3.056
3.056 0.000 3.056
3.056 3.056 0.000
ATOMIC_POSITIONS angstrom
B 0.000 0.000 0.000
Nd 4.583 4.583 4.583
Nb 1.528 1.528 1.528
```

| no. | calculated volume (Å³/atom) |
| --- | --- |
| 1 | 20.14 |
| 2 | 20.88 |
| 3 | 19.31 |
| 4 | 10.10 |
| 5 | 10.08 |
| 6 | 17.19 |
| 7 | 15.16 |
| 8 | 11.61 |
| 9 | 15.02 |
| 10 | 16.91 |
| 11 | 10.92 |
| 12 | 12.18 |
| 13 | 8.96 |
| 14 | 10.91 |
| 15 | 13.20 |
| 16 | 8.72 |
| 17 | 9.54 |
| 18 | 9.33 |
| 19 | 10.19 |
| 20 | 19.02 |